LaGa12Pd4 | PBE-GGA | relaxed

SG: Im-3, No. 204
Total energy in eV for the cell shown: -66.964
Formation energy in eV per atom: -0.291

```
data_LaGa12Pd4
_space_group_name_H-M_alt 'P 1'
_space_group_IT_number 1
_cell_length_a 7.6577
_cell_length_b 7.6577
_cell_length_c 7.6577
_cell_angle_alpha 109.47
_cell_angle_beta 109.47
_cell_angle_gamma 109.47
loop_
_space_group_symop_operation_xyz
'x,y,z'
loop_
_atom_site_label
_atom_site_fract_x
_atom_site_fract_y
_atom_site_fract_z
_atom_site_occupancy
La1 0.0000 0.0000 0.0000 1
Ga1 0.1533 0.5023 0.3490 1
Ga2 0.1533 0.8043 0.6510 1
Ga3 0.1957 0.3490 0.8467 1
Ga4 0.3490 0.1533 0.5023 1
Ga5 0.3490 0.8467 0.1957 1
Ga6 0.4977 0.6510 0.8467 1
Ga7 0.5023 0.3490 0.1533 1
Ga8 0.6510 0.1533 0.8043 1
Ga9 0.6510 0.8467 0.4977 1
Ga10 0.8043 0.6510 0.1533 1
Ga11 0.8467 0.1957 0.3490 1
Ga12 0.8467 0.4977 0.6510 1
Pd1 0.0000 0.0000 0.5000 1
Pd2 0.0000 0.5000 0.0000 1
Pd3 0.5000 0.0000 0.0000 1
Pd4 0.5000 0.5000 0.5000 1
```